Here is a crystal of Zr2Ga2Pd relaxed with PBEsol from Alexandria. Energies are from SCAN.

a = 6.5227 Å, b = 6.5227 Å, c = 4.1158 Å
α = 90.00°, β = 90.00°, γ = 90.00°
Fractional positions:
Zr (0.1705, 0.3295, 0.0000)
Zr (0.3295, 0.8295, 0.0000)
Zr (0.6705, 0.1705, 0.0000)
Zr (0.8295, 0.6705, 0.0000)
Ga (0.1362, 0.6362, 0.5000)
Ga (0.3638, 0.1362, 0.5000)
Ga (0.6362, 0.8638, 0.5000)
Ga (0.8638, 0.3638, 0.5000)
Pd (0.0000, 0.0000, 0.5000)
Pd (0.5000, 0.5000, 0.5000)

formation enthalpy at 0 K: -0.837 eV per atom
size of the total moment: 0.00 μB/f.u.
calculated volume: 175.11 Å³ per cell



Here is a crystal of TlCd3Ru relaxed with PBEsol from Alexandria. Energies are from SCAN.

a = 5.1123 Å, b = 5.1123 Å, c = 5.1123 Å
α = 90.00°, β = 90.00°, γ = 90.00°
Fractional positions:
Tl (0.0000, 0.0000, 0.0000)
Cd (0.0000, 0.5000, 0.5000)
Cd (0.5000, 0.0000, 0.5000)
Cd (0.5000, 0.5000, 0.0000)
Ru (0.5000, 0.5000, 0.5000)

formation enthalpy at 0 K: 0.494 eV per atom
size of the total moment: 0.00 μB/f.u.
calculated volume: 133.62 Å³ per cell



Here is a crystal of LiCaTl relaxed with PBEsol from Alexandria. Energies are from SCAN.

a = 4.9691 Å, b = 4.9691 Å, c = 3.5274 Å
α = 90.00°, β = 90.00°, γ = 120.00°
Fractional positions:
Li (0.0000, 0.0000, 0.0000)
Ca (0.6667, 0.3333, 0.5000)
Tl (0.3333, 0.6667, 0.0000)

formation enthalpy at 0 K: -0.424 eV per atom
size of the total moment: 0.00 μB/f.u.
calculated volume: 75.43 Å³ per cell



Here is a crystal of BeAl2Tc relaxed with PBEsol from Alexandria. Energies are from SCAN.

a = 2.6896 Å, b = 2.6896 Å, c = 7.4362 Å
α = 90.00°, β = 90.00°, γ = 90.00°
Fractional positions:
Be (0.0000, 0.0000, 0.0000)
Al (0.0000, 0.0000, 0.4668)
Al (0.5000, 0.5000, 0.7714)
Tc (0.5000, 0.5000, 0.2099)

formation enthalpy at 0 K: 0.021 eV per atom
size of the total moment: 0.00 μB/f.u.
calculated volume: 53.79 Å³ per cell



Here is a crystal of SrLaCo2 relaxed with PBEsol from Alexandria. Energies are from SCAN.

a = 3.4705 Å, b = 3.4705 Å, c = 7.0488 Å
α = 90.00°, β = 90.00°, γ = 90.00°
Fractional positions:
Sr (0.0000, 0.0000, 0.0000)
La (0.0000, 0.0000, 0.5000)
Co (0.5000, 0.5000, 0.3001)
Co (0.5000, 0.5000, 0.6999)

formation enthalpy at 0 K: 0.255 eV per atom
size of the total moment: 1.99 μB/f.u.
calculated volume: 84.90 Å³ per cell



Here is a crystal of K2CoBiSe relaxed with PBEsol from Alexandria. Energies are from SCAN.

a = 6.7887 Å, b = 6.7887 Å, c = 5.4132 Å
α = 90.00°, β = 90.00°, γ = 90.00°
Fractional positions:
K (0.0000, 0.5000, 0.0000)
K (0.5000, 0.0000, 0.0000)
Co (0.0000, 0.0000, 0.5000)
Bi (0.5000, 0.5000, 0.0000)
Se (0.5000, 0.5000, 0.5000)

size of the total moment: 2.48 μB/f.u.
calculated volume: 249.48 Å³ per cell
formation energy from raw total energies: 2.508 eV per formula unit



Here is a crystal of HfNi4As2 relaxed with PBEsol from Alexandria. Energies are from SCAN.

a = 6.9560 Å, b = 6.9560 Å, c = 3.7150 Å
α = 90.00°, β = 90.00°, γ = 90.00°
Fractional positions:
Hf (0.0000, 0.0000, 0.0000)
Hf (0.5000, 0.5000, 0.5000)
Ni (0.0913, 0.3446, 0.5000)
Ni (0.1554, 0.5913, 0.0000)
Ni (0.3446, 0.0913, 0.5000)
Ni (0.4087, 0.8446, 0.0000)
Ni (0.5913, 0.1554, 0.0000)
Ni (0.6554, 0.9087, 0.5000)
Ni (0.8446, 0.4087, 0.0000)
Ni (0.9087, 0.6554, 0.5000)
As (0.2163, 0.7837, 0.5000)
As (0.2837, 0.2837, 0.0000)
As (0.7163, 0.7163, 0.0000)
As (0.7837, 0.2163, 0.5000)

formation enthalpy at 0 K: -0.539 eV per atom
size of the total moment: 0.00 μB/f.u.
calculated volume: 179.76 Å³ per cell



Here is a crystal of LiErW2O8 relaxed with PBEsol from Alexandria. Energies are from SCAN.

a = 4.9698 Å, b = 5.8092 Å, c = 10.8224 Å
α = 90.00°, β = 114.22°, γ = 90.00°
Fractional positions:
Li (0.0000, 0.2271, 0.2500)
Li (0.0000, 0.7729, 0.7500)
Er (0.5000, 0.1870, 0.7500)
Er (0.5000, 0.8130, 0.2500)
W (0.2662, 0.3206, 0.0152)
W (0.2662, 0.6794, 0.5152)
W (0.7338, 0.3206, 0.4848)
W (0.7338, 0.6794, 0.9848)
O (0.1530, 0.3909, 0.5965)
O (0.1530, 0.6091, 0.0965)
O (0.2305, 0.1265, 0.1364)
O (0.2305, 0.8735, 0.6364)
O (0.2828, 0.1278, 0.8882)
O (0.2828, 0.8722, 0.3882)
O (0.3449, 0.4123, 0.3873)
O (0.3449, 0.5877, 0.8873)
O (0.6551, 0.4123, 0.1127)
O (0.6551, 0.5877, 0.6127)
O (0.7172, 0.1278, 0.6118)
O (0.7172, 0.8722, 0.1118)
O (0.7695, 0.1265, 0.3636)
O (0.7695, 0.8735, 0.8636)
O (0.8470, 0.3909, 0.9035)
O (0.8470, 0.6091, 0.4035)

size of the total moment: 0.00 μB/f.u.
calculated volume: 284.95 Å³ per cell
formation energy from raw total energies: -32.675 eV per formula unit